Here is a relaxed structure of Sc2SnMo from the Alexandria database. Energies are from PBE-GGA.

Results
- Total energy: -25.8 eV/f.u.
- DFT formation energy: 0.412 eV/atom
- Symmetry: I-42d

Cell: 4.150 4.150 10.482 Å, 78.58 78.58 90.00°
Last column: magnetic moment on the atom in μB.
Positions (direct):
Sc  0.375  0.386  0.750  0.07
Sc  0.875  0.864  0.750  0.07
Sc  0.614  0.125  0.250  0.06
Sc  0.136  0.625  0.250  0.06
Mo  0.500  0.500  0.000  0.31
Mo  0.250  0.750  0.500  0.30
Sn  0.000  0.000  0.000  0.00
Sn  0.750  0.250  0.500  0.00

---

Here is a relaxed structure of CdIn3N from the Alexandria database. Energies are from PBE-GGA.

Results
- Total energy: -10.2 eV/f.u.
- Formation energy from raw total energies: 1.442 eV/atom
- Symmetry: Pm-3m

Cell: 5.424 5.424 5.424 Å, 90.00 90.00 90.00°
Positions (direct):
Cd  0.000  0.000  0.000
In  0.500  0.000  0.000
In  0.000  0.000  0.500
In  0.000  0.500  0.000
N  0.500  0.500  0.500

---

Here is a relaxed structure of Tl3SnSe from the Alexandria database. Energies are from PBE-GGA.

Results
- Total energy: -13.0 eV/f.u.
- Formation energy from raw total energies: 0.321 eV/atom
- Symmetry: Pm-3m

Cell: 5.757 5.757 5.757 Å, 90.00 90.00 90.00°
Last column: magnetic moment on the atom in μB.
Positions (direct):
Tl  0.500  0.000  0.000  0.02
Tl  0.000  0.500  0.000  0.01
Tl  0.000  0.000  0.500  0.01
Se  0.000  0.000  0.000  0.01
Sn  0.500  0.500  0.500  0.22

---

Here is a relaxed structure of PmEuAlCu from the Alexandria database. Energies are from PBE-GGA.

Results
- Total energy: -23.5 eV/f.u.
- DFT formation energy: -0.161 eV/atom
- Symmetry: F-43m

Cell: 5.214 5.214 5.214 Å, 60.00 60.00 60.00°
Last column: magnetic moment on the atom in μB.
Positions (direct):
Pm  0.500  0.500  0.500  -0.01
Al  0.250  0.250  0.250  -0.01
Cu  0.750  0.750  0.750  -0.01
Eu  0.000  0.000  0.000  6.78

---

Here is a relaxed structure of Cu2Pb from the Alexandria database. Energies are from PBE-GGA.

Results
- Total energy: -10.7 eV/f.u.
- DFT formation energy: 0.392 eV/atom
- Symmetry: P-3m1

Cell: 3.316 3.316 5.950 Å, 90.00 90.00 120.00°
Positions (direct):
Cu  0.333  0.667  0.369
Cu  0.667  0.333  0.631
Pb  0.000  0.000  0.000

---

Here is a relaxed structure of MnBr from the Alexandria database. Energies are from PBE-GGA.

Results
- Total energy: -10.6 eV/f.u.
- Formation energy from raw total energies: 0.100 eV/atom
- Symmetry: Fddd

Cell: 8.522 11.331 7.992 Å, 90.00 90.00 90.00°
Last column: magnetic moment on the atom in μB.
Positions (direct):
Br  0.500  0.000  0.724  0.07
Br  0.250  0.750  0.026  0.07
Br  0.000  0.000  0.776  0.07
Br  0.250  0.250  0.974  0.07
Br  0.250  0.250  0.526  0.07
Br  0.750  0.750  0.526  0.07
Br  0.750  0.250  0.474  0.07
Br  0.000  0.500  0.276  0.07
Br  0.750  0.750  0.974  0.07
Br  0.000  0.000  0.224  0.07
Br  0.500  0.500  0.776  0.07
Br  0.750  0.250  0.026  0.07
Br  0.500  0.500  0.224  0.07
Br  0.500  0.000  0.276  0.07
Br  0.000  0.500  0.724  0.07
Br  0.250  0.750  0.474  0.07
Mn  0.250  0.625  0.750  3.75
Mn  0.750  0.875  0.250  3.75
Mn  0.750  0.375  0.750  3.75
Mn  0.500  0.375  0.500  3.75
Mn  0.250  0.125  0.250  3.75
Mn  0.000  0.375  0.000  3.75
Mn  0.750  0.625  0.250  3.75
Mn  0.000  0.625  0.000  3.75
Mn  0.250  0.875  0.750  3.75
Mn  0.500  0.125  0.000  3.75
Mn  0.000  0.875  0.500  3.75
Mn  0.500  0.625  0.500  3.75
Mn  0.000  0.125  0.500  3.75
Mn  0.250  0.375  0.250  3.75
Mn  0.500  0.875  0.000  3.75
Mn  0.750  0.125  0.750  3.75